Here is crystalline MgInRe2 at its relaxed geometry from the Alexandria database. Energies are from GGA-PBE.

abc: 5.3673 5.3673 5.3673
angles: 144.69 130.98 61.85
Last column: nearest neighbours and their distance in Å.
Sites, in units of the cell vectors:
1 Mg 0.0000 0.0000 0.0000  4 In 2.76, 4 Re 2.82
2 In 0.5000 0.5000 0.0000  4 Mg 2.76, 4 Re 2.82
3 Re 0.2496 0.7496 0.5000  4 Re 2.76, 2 Mg 2.82, 2 In 2.82
4 Re 0.7504 0.2504 0.5000  4 Re 2.76, 2 Mg 2.82, 2 In 2.82

Computed properties:
calculated formation energy = 0.469 eV/atom